The following is a DFT calculation (PBEsol) of crystalline Ta5Mo3 at its relaxed geometry.

Space-group type   P2 (3)
Offset from the most stable computed form   63 meV/atom

a = 2.8207 Å, b = 5.3275 Å, c = 8.9765 Å
α = 90.00°, β = 90.00°, γ = 99.25°
Fractional coordinates of all 8 atoms:
1 Mo 0.2476 0.2518 0.0030
2 Mo 0.0000 0.5000 0.2434
3 Mo 0.7524 0.7482 0.0030
4 Ta 0.7559 0.7478 0.4965
5 Ta 0.5000 0.0000 0.7571
6 Ta 0.5000 0.0000 0.2416
7 Ta 0.2441 0.2522 0.4965
8 Ta 0.0000 0.5000 0.7588


The following is a DFT calculation (PBEsol) of crystalline LiCa2Pd2 at its relaxed geometry.

Space-group type   I4/mmm (139)
Offset from the most stable computed form   191 meV/atom

a = 5.4918 Å, b = 5.5523 Å, c = 5.4918 Å
α = 60.36°, β = 90.00°, γ = 119.64°
Fractional coordinates of all 5 atoms:
1 Ca 0.7500 0.5000 0.7500
2 Ca 0.2500 0.5000 0.2500
3 Pd 0.6634 0.3267 0.3366
4 Pd 0.3366 0.6733 0.6634
5 Li 0.0000 0.0000 0.0000


The following is a DFT calculation (PBEsol) of crystalline MgCr2Os at its relaxed geometry.

Space-group type   Immm (71)
Energy   -33.0 eV for the cell shown

a = 2.9541 Å, b = 4.1936 Å, c = 4.9518 Å
α = 115.05°, β = 107.35°, γ = 90.00°
Fractional coordinates of all 4 atoms:
1 Cr 0.7367 0.7367 0.4734
2 Cr 0.2633 0.2633 0.5266
3 Mg 0.5000 0.0000 0.0000
4 Os 0.0000 0.5000 0.0000


The following is a DFT calculation (PBEsol) of crystalline KBa2ScPd at its relaxed geometry.

Space-group type   P4/mmm (123)
Energy   -18.1 eV for the cell shown

a = 5.2094 Å, b = 6.3452 Å, c = 6.3452 Å
α = 90.00°, β = 90.00°, γ = 90.00°
Fractional coordinates of all 5 atoms:
1 Sc 0.5000 0.0000 0.0000
2 K 0.5000 0.5000 0.5000
3 Ba 0.0000 0.0000 0.5000
4 Ba 0.0000 0.5000 0.0000
5 Pd 0.0000 0.0000 0.0000